(1)
The following is a PBE calculation of an optimized crystal structure of GdBiAu, from the Alexandria database.

Computed properties:
- energy relative to the elements (eV/atom) = -0.60
- SG = I4mm, No. 107

Lattice parameters (Å, degrees): 6.3252 6.3252 6.3252 145.92 145.92 48.96
Last column: nearest neighbours and their distance in Å.
Fractional coordinates of all 3 atoms:
Gd: 0.0000 0.0000 0.0000  4 Au 3.03
Bi: 0.2993 0.2993 0.0000  4 Au 3.25, 5 Gd 3.45-3.49
Au: 0.6318 0.6318 0.0000  4 Gd 3.03, 4 Bi 3.25

---

(2)
The following is a PBE calculation of an optimized crystal structure of MgPRh2, from the Alexandria database.

Computed properties:
- energy relative to the elements (eV/atom) = -0.35
- SG = I-4m2, No. 119

Lattice parameters (Å, degrees): 4.9521 4.9521 4.9521 136.94 136.94 62.53
Last column: nearest neighbours and their distance in Å.
Fractional coordinates of all 4 atoms:
Mg: 0.0000 0.0000 0.0000  8 Rh 2.57-2.79, 4 P 2.79
P: 0.2500 0.7500 0.5000  8 Rh 2.57-2.79, 4 Mg 2.79
Rh: 0.5000 0.5000 0.0000  4 Mg 2.57, 4 Rh 2.79, 4 P 2.79
Rh: 0.7500 0.2500 0.5000  4 P 2.57, 4 Mg 2.79, 4 Rh 2.79

---

(3)
The following is a PBE calculation of an optimized crystal structure of TaHg4Te, from the Alexandria database.

Computed properties:
- energy relative to the elements, uncorrected (kcal/mol of atoms) = 17.4
- SG = F-43m, No. 216

Lattice parameters (Å, degrees): 5.8718 5.8718 5.8718 60.00 60.00 60.00
Last column: nearest neighbours and their distance in Å.
Fractional coordinates of all 6 atoms:
Ta: 0.0000 0.0000 0.0000  12 Hg 3.44, 4 Te 3.60
Hg: 0.3745 0.3745 0.3745  6 Hg 2.92-2.95
Hg: 0.3745 0.3745 0.8765  6 Hg 2.92-2.95
Hg: 0.3745 0.8765 0.3745  6 Hg 2.92-2.95
Hg: 0.8765 0.3745 0.3745  6 Hg 2.92-2.95
Te: 0.7500 0.7500 0.7500  12 Hg 3.44, 4 Ta 3.60

---

(4)
The following is a PBE calculation of an optimized crystal structure of RuAu4Br, from the Alexandria database.

Computed properties:
- energy relative to the elements, uncorrected (kcal/mol of atoms) = 14.4
- SG = F-43m, No. 216

Lattice parameters (Å, degrees): 5.5649 5.5649 5.5649 60.00 60.00 60.00
Last column: nearest neighbours and their distance in Å.
Fractional coordinates of all 6 atoms:
Ru: 0.0000 0.0000 0.0000  12 Au 3.26, 4 Br 3.41
Au: 0.1246 0.6251 0.6251  6 Au 2.78-2.79
Au: 0.6251 0.1246 0.6251  6 Au 2.78-2.79
Au: 0.6251 0.6251 0.1246  6 Au 2.78-2.79
Au: 0.6251 0.6251 0.6251  6 Au 2.78-2.79
Br: 0.2500 0.2500 0.2500  12 Au 3.26, 4 Ru 3.41

---

Number 1: total magnetic moment 2.384 μB/atom, DOS at the Fermi energy 2.319 states/eV/f.u., mass density 11.83 g cm⁻³. Number 2: total magnetic moment 0.000 μB/atom, DOS at the Fermi energy 2.581 states/eV/f.u., mass density 7.75 g cm⁻³. Number 3: total magnetic moment 0.349 μB/atom, DOS at the Fermi energy 2.327 states/eV/f.u., mass density 12.89 g cm⁻³. Number 4: total magnetic moment 0.499 μB/atom, DOS at the Fermi energy 0.916 states/eV/f.u., mass density 13.20 g cm⁻³.